Version 1
SbRuBr2: optimized geometry, GGA-PBEsol.

Cell: 9.456 3.421 7.027 Å, 90.00 112.73 90.00°
Space group Cm (No. 8)
Symmetry-distinct sites (fractional):
Sb 0.000 0.000 0.000
Ru 0.266 0.000 0.966
Br 0.154 0.500 0.689
Br 0.326 0.500 0.271

Values from the calculation:
Crystal system ... monoclinic



Version 2
SbRuBr2: optimized geometry, GGA-PBEsol.

Cell: 3.096 3.096 9.251 Å, 90.00 90.00 90.00°
Space group P4/mmm (No. 123)
Symmetry-distinct sites (fractional):
Sb 0.000 0.000 0.000
Ru 0.000 0.000 0.500
Br 0.500 0.500 0.331

Values from the calculation:
Crystal system ... tetragonal



Bottom line: version 1, by a margin of 484 meV/atom.



Version 1
RuSe2Br: optimized geometry, GGA-PBEsol.

Cell: 6.483 3.750 7.861 Å, 90.00 106.18 90.00°
Space group C2/m (No. 12)
Symmetry-distinct sites (fractional):
Ru 0.000 0.000 0.000
Se 0.113 0.500 0.843
Br 0.000 0.500 0.500

Values from the calculation:
Crystal system ... monoclinic



Version 2
RuSe2Br: optimized geometry, GGA-PBEsol.

Cell: 3.3040 3.3040 25.7643 Å, 90.00 90.00 120.00°
Space group R3m (No. 160, hexagonal axes)
Symmetry-distinct sites (fractional):
Ru 0.0000 0.0000 0.0000
Se 0.0000 0.0000 0.4812
Se 0.0000 0.0000 0.7232
Br 0.0000 0.0000 0.2629

Values from the calculation:
Crystal system ... trigonal



Version 3
RuSe2Br: optimized geometry, GGA-PBEsol.

Cell: 2.989 4.768 10.850 Å, 90.00 90.00 90.00°
Space group Immm (No. 71)
Symmetry-distinct sites (fractional):
Ru 0.000 0.000 0.000
Se 0.000 0.500 0.315
Br 0.000 0.000 0.500

Values from the calculation:
Crystal system ... orthorhombic



Bottom line: version 1, by a margin of 328 meV/atom.



Version 1
SrRuBr2: optimized geometry, GGA-PBEsol.

Cell: 3.490 3.949 14.244 Å, 90.00 90.00 90.00°
Space group Imm2 (No. 44)
Symmetry-distinct sites (fractional):
Sr 0.000 0.000 0.000
Ru 0.000 0.500 0.320
Br 0.000 0.000 0.608
Br 0.000 0.500 0.835

Values from the calculation:
Crystal system ... orthorhombic



Version 2
SrRuBr2: optimized geometry, GGA-PBEsol.

Cell: 4.552 3.898 11.078 Å, 90.00 90.00 90.00°
Space group Amm2 (No. 38)
Symmetry-distinct sites (fractional):
Sr 0.000 0.000 0.000
Ru 0.500 0.000 0.640
Br 0.000 0.000 0.710
Br 0.500 0.000 0.408

Values from the calculation:
Crystal system ... orthorhombic



Bottom line: version 2, by a margin of 87 meV/atom.



Version 1
TcRuBr2: optimized geometry, GGA-PBEsol.

Cell: 2.945 4.260 5.467 Å, 90.00 90.00 90.00°
Space group Pmmm (No. 47)
Symmetry-distinct sites (fractional):
Tc 0.000 0.000 0.000
Ru 0.500 0.000 0.500
Br 0.000 0.500 0.500
Br 0.500 0.500 0.000

Values from the calculation:
Crystal system ... orthorhombic



Version 2
TcRuBr2: optimized geometry, GGA-PBEsol.

Cell: 5.881 8.494 3.101 Å, 90.00 117.90 90.00°
Space group C2/m (No. 12)
Symmetry-distinct sites (fractional):
Tc 0.000 0.000 0.000
Ru 0.000 0.500 0.000
Br 0.250 0.250 0.000

Values from the calculation:
Crystal system ... monoclinic



Version 3
TcRuBr2: optimized geometry, GGA-PBEsol.

Cell: 3.700 3.700 9.678 Å, 90.00 90.00 90.00°
Space group I-4m2 (No. 119)
Symmetry-distinct sites (fractional):
Tc 0.000 0.000 0.000
Ru 0.000 0.500 0.750
Br 0.000 0.000 0.500
Br 0.000 0.500 0.250

Values from the calculation:
Crystal system ... tetragonal



Version 4
TcRuBr2: optimized geometry, GGA-PBEsol.

Cell: 2.9978 2.9978 28.0740 Å, 90.00 90.00 120.00°
Space group R3m (No. 160, hexagonal axes)
Symmetry-distinct sites (fractional):
Tc 0.0000 0.0000 0.0000
Ru 0.0000 0.0000 0.2631
Br 0.0000 0.0000 0.5241
Br 0.0000 0.0000 0.7358

Values from the calculation:
Crystal system ... trigonal



Bottom line: version 4, by a margin of 654 meV/atom.



Version 1
Te2RuBr: optimized geometry, GGA-PBEsol.

Cell: 3.656 3.656 7.971 Å, 90.00 90.00 90.00°
Space group P4mm (No. 99)
Symmetry-distinct sites (fractional):
Te 0.000 0.000 0.000
Te 0.500 0.500 0.355
Ru 0.500 0.500 0.040
Br 0.000 0.000 0.666

Values from the calculation:
Crystal system ... tetragonal



Version 2
Te2RuBr: optimized geometry, GGA-PBEsol.

Cell: 5.109 5.109 3.155 Å, 90.00 90.00 90.00°
Space group P4/mmm (No. 123)
Symmetry-distinct sites (fractional):
Te 0.000 0.500 0.000
Ru 0.000 0.000 0.500
Br 0.500 0.500 0.500

Values from the calculation:
Crystal system ... tetragonal



Bottom line: version 1, by a margin of 368 meV/atom.



Version 1
TlRu2Br: optimized geometry, GGA-PBEsol.

Cell: 2.978 2.971 8.712 Å, 90.00 98.93 90.00°
Space group Pm (No. 6)
Symmetry-distinct sites (fractional):
Tl 0.000 0.000 0.000
Ru 0.385 0.500 0.752
Ru 0.808 0.000 0.582
Br 0.700 0.500 0.348

Values from the calculation:
Crystal system ... monoclinic



Version 2
TlRu2Br: optimized geometry, GGA-PBEsol.

Cell: 4.579 4.579 3.166 Å, 90.00 90.00 90.00°
Space group P4/mmm (No. 123)
Symmetry-distinct sites (fractional):
Tl 0.000 0.000 0.000
Ru 0.000 0.500 0.500
Br 0.500 0.500 0.000

Values from the calculation:
Crystal system ... tetragonal



Version 3
TlRu2Br: optimized geometry, GGA-PBEsol.

Cell: 3.878 3.878 9.159 Å, 90.00 90.00 90.00°
Space group I-4m2 (No. 119)
Symmetry-distinct sites (fractional):
Tl 0.000 0.000 0.000
Ru 0.000 0.000 0.500
Ru 0.000 0.500 0.750
Br 0.000 0.500 0.250

Values from the calculation:
Crystal system ... tetragonal



Version 4
TlRu2Br: optimized geometry, GGA-PBEsol.

Cell: 3.139 3.139 6.642 Å, 90.00 90.00 90.00°
Space group P4/mmm (No. 123)
Symmetry-distinct sites (fractional):
Tl 0.000 0.000 0.000
Ru 0.500 0.500 0.270
Br 0.000 0.000 0.500

Values from the calculation:
Crystal system ... tetragonal



Bottom line: version 1, by a margin of 440 meV/atom.



Version 1
Tl2RuBr: optimized geometry, GGA-PBEsol.

Cell: 10.525 3.111 6.253 Å, 90.00 114.72 90.00°
Space group Cm (No. 8)
Symmetry-distinct sites (fractional):
Tl 0.000 0.000 0.000
Tl 0.151 0.000 0.599
Ru 0.416 0.000 0.587
Br 0.304 0.500 0.253

Values from the calculation:
Crystal system ... monoclinic



Version 2
Tl2RuBr: optimized geometry, GGA-PBEsol.

Cell: 4.328 4.328 9.484 Å, 90.00 90.00 90.00°
Space group I4/mmm (No. 139)
Symmetry-distinct sites (fractional):
Tl 0.000 0.500 0.250
Ru 0.000 0.000 0.000
Br 0.000 0.000 0.500

Values from the calculation:
Crystal system ... tetragonal



Bottom line: version 1, by a margin of 422 meV/atom.



Version 1
YRuBr2: optimized geometry, GGA-PBEsol.

Cell: 3.965 3.763 6.945 Å, 90.00 101.05 90.00°
Space group Pm (No. 6)
Symmetry-distinct sites (fractional):
Y 0.000 0.000 0.000
Ru 0.465 0.500 0.907
Br 0.366 0.000 0.664
Br 0.732 0.500 0.263

Values from the calculation:
Crystal system ... monoclinic



Version 2
YRuBr2: optimized geometry, GGA-PBEsol.

Cell: 3.695 4.274 12.930 Å, 90.00 90.00 90.00°
Space group Immm (No. 71)
Symmetry-distinct sites (fractional):
Y 0.000 0.000 0.000
Ru 0.000 0.000 0.500
Br 0.000 0.500 0.149

Values from the calculation:
Crystal system ... orthorhombic



Bottom line: version 1, by a margin of 64 meV/atom.



Version 1
YRu2Br: optimized geometry, GGA-PBEsol.

Cell: 3.308 3.301 14.688 Å, 90.00 90.00 90.00°
Space group Amm2 (No. 38)
Symmetry-distinct sites (fractional):
Y 0.000 0.000 0.000
Ru 0.000 0.000 0.192
Ru 0.500 0.000 0.632
Br 0.500 0.000 0.377

Values from the calculation:
Crystal system ... orthorhombic



Version 2
YRu2Br: optimized geometry, GGA-PBEsol.

Cell: 10.329 3.141 4.515 Å, 90.00 92.10 90.00°
Space group C2/m (No. 12)
Symmetry-distinct sites (fractional):
Y 0.000 0.000 0.000
Ru 0.220 0.500 0.213
Br 0.000 0.500 0.500

Values from the calculation:
Crystal system ... monoclinic



Bottom line: version 1, by a margin of 242 meV/atom.



Version 1
ZnRu2Br: optimized geometry, GGA-PBEsol.

Cell: 2.836 4.950 8.557 Å, 90.00 90.00 90.00°
Space group Cmmm (No. 65)
Symmetry-distinct sites (fractional):
Zn 0.000 0.000 0.000
Ru 0.000 0.500 0.246
Br 0.000 0.000 0.500

Values from the calculation:
Crystal system ... orthorhombic



Version 2
ZnRu2Br: optimized geometry, GGA-PBEsol.

Cell: 2.904 4.212 5.136 Å, 90.00 99.07 90.00°
Space group P2/m (No. 10)
Symmetry-distinct sites (fractional):
Zn 0.000 0.000 0.000
Ru 0.354 0.500 0.219
Br 0.500 0.000 0.500

Values from the calculation:
Crystal system ... monoclinic



Bottom line: version 2, by a margin of 55 meV/atom.



Version 1
Zr2RuBr: optimized geometry, GGA-PBEsol.

Cell: 6.543 3.787 7.361 Å, 90.00 107.24 90.00°
Space group C2/m (No. 12)
Symmetry-distinct sites (fractional):
Zr 0.230 0.000 0.191
Ru 0.000 0.500 0.000
Br 0.000 0.000 0.500

Values from the calculation:
Crystal system ... monoclinic



Version 2
Zr2RuBr: optimized geometry, GGA-PBEsol.

Cell: 3.293 3.293 7.318 Å, 90.00 90.00 90.00°
Space group P4mm (No. 99)
Symmetry-distinct sites (fractional):
Zr 0.000 0.000 0.000
Zr 0.500 0.500 0.287
Ru 0.500 0.500 0.836
Br 0.000 0.000 0.519

Values from the calculation:
Crystal system ... tetragonal



Version 3
Zr2RuBr: optimized geometry, GGA-PBEsol.

Cell: 3.980 5.209 7.240 Å, 90.00 90.00 90.00°
Space group Immm (No. 71)
Symmetry-distinct sites (fractional):
Zr 0.000 0.000 0.240
Ru 0.000 0.500 0.500
Br 0.000 0.500 0.000

Values from the calculation:
Crystal system ... orthorhombic



Version 4
Zr2RuBr: optimized geometry, GGA-PBEsol.

Cell: 3.410 5.270 9.041 Å, 90.00 90.00 90.00°
Space group Cmm2 (No. 35)
Symmetry-distinct sites (fractional):
Zr 0.000 0.000 0.000
Zr 0.000 0.500 0.283
Ru 0.000 0.000 0.481
Br 0.000 0.500 0.767

Values from the calculation:
Crystal system ... orthorhombic



Bottom line: version 1, by a margin of 243 meV/atom.



Version 1
YSBr2: optimized geometry, GGA-PBEsol.

Cell: 3.8181 3.8181 29.3040 Å, 90.00 90.00 120.00°
Space group R-3m (No. 166, hexagonal axes)
Symmetry-distinct sites (fractional):
Y 0.0000 0.0000 0.0000
S 0.0000 0.0000 0.5000
Br 0.0000 0.0000 0.0890

Values from the calculation:
Crystal system ... trigonal



Version 2
YSBr2: optimized geometry, GGA-PBEsol.

Cell: 9.945 9.945 5.263 Å, 90.00 90.00 90.00°
Space group I-42d (No. 122)
Symmetry-distinct sites (fractional):
Y 0.000 0.000 0.000
S 0.000 0.000 0.500
Br 0.111 0.250 0.125

Values from the calculation:
Crystal system ... tetragonal



Bottom line: version 2, by a margin of 1278 meV/atom.